Entry 1:
CaGe2RuPt (GGA-PBE, optimized geometry); symmetry = I-4m2 (119); energy of formation from the pure elements = -679.1 meV per atom
1.0
4.200 0.000 0.000
0.000 4.200 0.000
-2.100 -2.100 5.274
Ge Ca Ru Pt
2 1 1 1
Cartesian
0.000 0.000 3.965
2.100 2.100 1.308
0.000 0.000 0.000
2.100 0.000 2.637
0.000 2.100 2.637

=====

Entry 2:
Ca2GeSb3Pt4 (GGA-PBE, optimized geometry); symmetry = P-4m2 (115); ΔE_f (raw) = -0.718 eV per atom
1.0
-1.557 2.286 -3.641
-3.747 1.177 2.341
4.905 8.797 3.427
Sb Ge Pt Ca
3 1 4 2
Cartesian
-1.222 1.757 1.626
3.475 8.771 1.151
2.452 4.398 1.713
-0.199 6.130 1.064
-2.652 1.732 -0.650
-0.024 3.906 2.463
2.277 6.623 0.314
0.000 0.000 0.000
0.411 3.277 -0.989
1.842 7.251 3.766

=====

Entry 3:
CaScGePt (GGA-PBE, optimized geometry); symmetry = F-43m (216); energy of formation from the pure elements = -764.4 meV per atom
1.0
4.857 0.000 0.000
2.429 4.206 0.000
2.429 1.402 3.966
Ca Pt Ge Sc
1 1 1 1
Cartesian
0.000 0.000 0.000
7.286 4.206 2.974
2.429 1.402 0.991
4.857 2.804 1.983

=====

Entry 4:
Ca2SiGe3Pt4 (GGA-PBE, optimized geometry); symmetry = P-4m2 (115); ΔE_f (raw) = -0.825 eV per atom
1.0
4.285 0.000 0.000
0.000 4.285 0.000
0.000 0.000 10.279
Pt Ca Ge Si
4 2 3 1
Cartesian
0.000 0.000 0.000
2.143 0.000 6.399
2.143 2.143 0.000
0.000 2.143 3.880
2.143 0.000 2.617
0.000 2.143 7.662
0.000 2.143 1.383
2.143 0.000 8.896
0.000 0.000 5.139
2.143 2.143 5.139

=====

Entry 5:
Ca3SiGe2Pt9 (GGA-PBE, optimized geometry); symmetry = P-3m1 (164); ΔE_f (raw) = -0.543 eV per atom
1.0
-3.574 0.960 -5.496
-0.240 -5.835 3.131
-6.312 2.717 4.579
Ca Pt Ge Si
3 9 2 1
Cartesian
-4.419 -0.463 -1.201
0.000 0.000 0.000
-5.707 -1.695 3.415
-5.539 1.407 2.198
-7.778 -1.454 0.810
-1.907 -2.437 -1.183
-1.787 0.480 -2.748
-0.120 -2.917 1.565
-2.489 -4.129 3.242
-2.349 -0.704 1.404
-7.637 1.971 -1.028
-4.587 -3.565 0.016
-2.598 -3.033 1.160
-7.528 0.875 1.054
-3.156 1.358 2.290

=====

Entry 6:
CaSmGePt (GGA-PBE, optimized geometry); symmetry = F-43m (216); energy of formation from the pure elements = -802.4 meV per atom
1.0
-4.074 -0.579 2.956
-1.379 -4.628 1.535
0.563 -1.331 4.856
Ca Sm Ge Pt
1 1 1 1
Cartesian
0.000 0.000 0.000
-2.445 -3.269 4.674
-1.222 -1.634 2.337
-3.667 -4.903 7.011

=====

Entry 7:
Ca2SmGe3Pt4 (GGA-PBE, optimized geometry); symmetry = P-4m2 (115); energy of formation from the pure elements = -850.0 meV per atom
1.0
-1.285 4.113 -0.461
-2.734 -0.481 3.328
8.016 3.296 7.061
Sm Ge Pt Ca
1 3 4 2
Cartesian
1.998 3.464 4.964
4.008 1.648 3.531
6.413 4.958 5.985
-0.407 0.154 2.510
0.000 0.000 0.000
4.674 4.243 4.453
1.332 0.869 4.042
-2.010 1.816 1.434
1.158 2.797 1.355
4.848 2.315 7.139

=====

Entry 8:
CaSmGe2Pt5 (GGA-PBE, optimized geometry); symmetry = P4/mmm (123); energy of formation from the pure elements = -801.9 meV per atom
1.0
4.250 0.000 0.000
0.000 4.250 0.000
0.000 0.000 9.106
Ca Pt Ge Sm
1 5 2 1
Cartesian
0.000 0.000 4.553
2.125 2.125 4.553
0.000 2.125 6.614
0.000 2.125 2.492
2.125 0.000 2.492
2.125 0.000 6.614
2.125 2.125 7.868
2.125 2.125 1.239
0.000 0.000 0.000

=====

Entry 9:
Ca2Sn3GePt4 (GGA-PBE, optimized geometry); symmetry = P-4m2 (115); energy of formation from the pure elements = -723.2 meV per atom
1.0
4.500 0.000 0.000
0.000 4.500 0.000
0.000 0.000 10.903
Ge Pt Sn Ca
1 4 3 2
Cartesian
2.250 2.250 5.451
0.000 0.000 0.000
2.250 2.250 0.000
0.000 2.250 4.077
2.250 0.000 6.826
2.250 0.000 9.453
0.000 0.000 5.451
0.000 2.250 1.450
2.250 0.000 2.759
0.000 2.250 8.144

=====

Entry 10:
Sr2CaGe3Pt4 (GGA-PBE, optimized geometry); symmetry = P-4m2 (115); energy of formation from the pure elements = -811.7 meV per atom
1.0
-1.888 -1.836 -3.585
-0.178 -3.917 2.100
-9.854 2.534 3.892
Ge Pt Sr Ca
3 4 2 1
Cartesian
-9.649 1.321 1.646
-1.238 -1.663 1.504
-4.927 1.267 1.946
-7.401 0.743 0.758
-1.033 -2.877 -0.743
-3.486 -1.085 2.392
0.000 0.000 0.000
-3.246 -0.326 -0.883
-7.640 -0.017 4.033
-5.960 -1.610 1.203

=====

Entry 11:
SrCaGe2Pt5 (GGA-PBE, optimized geometry); symmetry = P4/mmm (123); energy of formation from the pure elements = -639.2 meV per atom
1.0
4.128 0.000 0.000
0.000 4.128 0.000
0.000 0.000 11.890
Pt Ge Ca Sr
5 2 1 1
Cartesian
0.000 2.064 9.676
2.064 2.064 5.945
2.064 0.000 2.214
0.000 2.064 2.214
2.064 0.000 9.676
2.064 2.064 3.520
2.064 2.064 8.370
0.000 0.000 0.000
0.000 0.000 5.945

=====

Entry 12:
CaTb2Ge3Pt4 (GGA-PBE, optimized geometry); symmetry = P-4m2 (115); energy of formation from the pure elements = -868.2 meV per atom
1.0
4.245 0.000 0.000
0.000 4.245 0.000
0.000 0.000 11.208
Pt Tb Ge Ca
4 2 3 1
Cartesian
2.122 2.122 0.000
2.122 0.000 7.400
0.000 0.000 0.000
0.000 2.122 3.808
0.000 2.122 8.708
2.122 0.000 2.500
2.122 0.000 9.814
0.000 2.122 1.394
0.000 0.000 5.604
2.122 2.122 5.604

=====

Entry 13:
Ca2TbGe3Pt4 (GGA-PBE, optimized geometry); symmetry = P-4m2 (115); energy of formation from the pure elements = -876.3 meV per atom
1.0
-2.880 -1.936 -2.536
1.968 -3.767 0.641
-6.536 -1.904 8.874
Ca Ge Pt Tb
2 3 4 1
Cartesian
-4.067 -3.355 7.180
-2.924 -1.401 0.747
-3.268 -0.952 4.437
-7.174 -2.639 6.518
0.182 -2.117 1.409
-5.752 -2.225 4.587
0.000 0.000 0.000
-1.240 -2.531 3.340
-0.456 -2.852 -0.948
-3.724 -3.804 3.490

=====

Entry 14:
Ca2ThGe3Pt4 (GGA-PBE, optimized geometry); symmetry = P-4m2 (115); energy of formation from the pure elements = -827.8 meV per atom
1.0
-1.065 4.273 -0.007
-4.233 -1.054 0.606
1.481 0.386 11.015
Th Pt Ca Ge
1 4 2 3
Cartesian
-1.909 1.803 5.807
-2.649 1.610 0.300
-1.617 -0.397 4.019
0.000 0.000 0.000
0.449 2.393 7.296
-0.212 2.220 2.384
-0.956 -0.224 8.931
0.740 0.193 5.508
-1.944 -0.482 1.589
0.775 2.478 9.725

=====

Entry 15:
CaThGePt (GGA-PBE, optimized geometry); symmetry = F-43m (216); energy of formation from the pure elements = -787.5 meV per atom
1.0
5.116 0.000 0.000
2.558 4.431 0.000
2.558 1.477 4.178
Th Ge Ca Pt
1 1 1 1
Cartesian
0.000 0.000 0.000
2.558 1.477 1.044
5.116 2.954 2.089
7.675 4.431 3.133

=====

Entry 16:
Ca2TiGe4Pt3 (GGA-PBE, optimized geometry); symmetry = P-4m2 (115); energy of formation from the pure elements = -771.7 meV per atom
1.0
-4.038 -1.076 -0.504
0.836 -1.303 -3.914
2.200 -10.047 3.815
Ca Ge Pt Ti
2 4 3 1
Cartesian
-1.466 -3.065 0.708
2.064 -8.171 0.898
-1.601 -1.190 -2.209
1.209 -4.264 -0.585
-0.610 -6.972 2.191
0.000 0.000 0.000
1.100 -5.023 1.908
-0.102 -9.291 3.072
0.701 -1.945 -1.466
-0.501 -6.213 -0.302

=====

Entry 17:
CaTi2GePt (GGA-PBE, optimized geometry); symmetry = P4/mmm (123); energy of formation from the pure elements = 146.2 meV per atom
1.0
5.028 0.000 0.000
0.000 5.028 0.000
0.000 0.000 4.776
Ti Pt Ca Ge
2 1 1 1
Cartesian
2.514 0.000 0.000
0.000 2.514 0.000
0.000 0.000 0.000
2.514 2.514 2.388
0.000 0.000 2.388

=====

Entry 18:
Ca2TlGe3Pt4 (GGA-PBE, optimized geometry); symmetry = P-4m2 (115); energy of formation from the pure elements = -670.4 meV per atom
1.0
4.239 0.000 0.000
0.000 4.239 0.000
0.000 0.000 11.254
Pt Ca Ge Tl
4 2 3 1
Cartesian
0.000 2.120 3.835
2.120 0.000 7.419
2.120 2.120 0.000
0.000 0.000 0.000
2.120 0.000 2.709
0.000 2.120 8.545
0.000 0.000 5.627
2.120 0.000 9.837
0.000 2.120 1.417
2.120 2.120 5.627

=====

Entry 19:
Ca2TmGe3Pt4 (GGA-PBE, optimized geometry); symmetry = P-4m2 (115); energy of formation from the pure elements = -896.3 meV per atom
1.0
-0.860 -3.191 2.695
2.848 -2.461 -2.004
8.014 3.661 6.894
Pt Ge Ca Tm
4 3 2 1
Cartesian
0.994 -2.826 0.345
4.180 0.029 1.368
0.000 0.000 0.000
4.828 0.807 5.871
4.007 1.831 3.447
2.430 -0.771 -0.137
6.578 1.606 7.376
7.596 1.589 4.307
1.412 -0.754 2.932
5.001 -0.995 3.792

=====

Entry 20:
CaTmGe2Pt5 (GGA-PBE, optimized geometry); symmetry = P4/mmm (123); energy of formation from the pure elements = -775.6 meV per atom
1.0
-3.961 -0.741 1.274
0.674 -4.160 -0.325
2.809 -0.218 8.605
Pt Tm Ca Ge
5 1 1 2
Cartesian
2.388 -2.239 6.120
1.095 -2.139 2.160
0.070 -0.529 6.920
-1.222 -0.429 2.960
-0.239 -2.559 4.777
0.000 0.000 0.000
1.405 -0.109 4.303
0.791 -2.639 7.933
-1.269 -2.479 1.621

=====

no.,calculated total energy (eV per cell)
1,-29.95
2,-52.33
3,-22.05
4,-55.69
5,-83.18
6,-20.59
7,-55.24
8,-53.38
9,-52.02
10,-51.50
11,-48.88
12,-57.96
13,-55.41
14,-57.72
15,-23.23
16,-56.21
17,-27.72
18,-51.09
19,-55.45
20,-52.89